[1]
# Sm2CrNi3Pt12

A relaxed Sm2CrNi3Pt12 crystal (GGA-PBE, Alexandria via LeMat-Bulk).

The structure in POSCAR format:
```
Sm2CrNi3Pt12
1.0
3.3935 1.9593 8.3513
-3.3935 1.9593 8.3513
0.0000 -3.9185 8.3513
Sm Cr Ni Pt
2 1 3 12
Direct
0.1548 0.1548 0.1548 Sm
0.8452 0.8452 0.8452 Sm
0.5000 0.5000 0.5000 Cr
0.0000 0.5000 0.5000 Ni
0.5000 0.0000 0.5000 Ni
0.5000 0.5000 0.0000 Ni
0.0865 0.0865 0.6841 Pt
0.0865 0.6841 0.0865 Pt
0.1446 0.5778 0.5778 Pt
0.3159 0.9135 0.9135 Pt
0.4222 0.4222 0.8554 Pt
0.4222 0.8554 0.4222 Pt
0.5778 0.1446 0.5778 Pt
0.5778 0.5778 0.1446 Pt
0.6841 0.0865 0.0865 Pt
0.8554 0.4222 0.4222 Pt
0.9135 0.3159 0.9135 Pt
0.9135 0.9135 0.3159 Pt
```

Output
ΔH_f (0 K) in eV/atom: -0.10
Crystal system: trigonal
N(E_F) in states/eV/cell: 19.7

[2]
# CrNi2SnPt

A relaxed CrNi2SnPt crystal (GGA-PBE, Alexandria via LeMat-Bulk).

The structure in POSCAR format:
```
CrNi2SnPt
1.0
4.5630 0.0000 0.0000
0.0000 4.5630 0.0000
0.0000 0.0000 4.9609
Cr Ni Sn Pt
1 2 1 1
Direct
0.0000 0.0000 0.0000 Cr
0.0000 0.5000 0.5000 Ni
0.5000 0.0000 0.5000 Ni
0.0000 0.0000 0.5000 Sn
0.5000 0.5000 0.0000 Pt
```

Output
ΔH_f (0 K) in eV/atom: 1.32
Crystal system: tetragonal
N(E_F) in states/eV/cell: 6.2

[3]
# CrNi7Sn2Pt2

A relaxed CrNi7Sn2Pt2 crystal (GGA-PBE, Alexandria via LeMat-Bulk).

The structure in POSCAR format:
```
CrNi7Sn2Pt2
1.0
2.4518 -2.4521 0.0000
2.4518 2.4521 0.0000
-2.4437 0.0000 13.9072
Cr Ni Sn Pt
1 7 2 2
Direct
0.0000 0.0000 0.0000 Cr
0.0622 0.5623 0.1251 Ni
0.2709 0.2709 0.5408 Ni
0.4377 0.9378 0.8749 Ni
0.5000 0.5000 0.0000 Ni
0.5623 0.0622 0.1251 Ni
0.7291 0.7291 0.4592 Ni
0.9378 0.4377 0.8749 Ni
0.1789 0.1789 0.3599 Sn
0.8211 0.8211 0.6401 Sn
0.3680 0.3680 0.7341 Pt
0.6320 0.6320 0.2659 Pt
```

Output
ΔH_f (0 K) in eV/atom: -0.07
Crystal system: monoclinic
N(E_F) in states/eV/cell: 13.5

[4]
# V2CrNiPt

A relaxed V2CrNiPt crystal (GGA-PBE, Alexandria via LeMat-Bulk).

The structure in POSCAR format:
```
V2CrNiPt
1.0
4.1387 0.0000 0.0000
0.0000 4.1387 0.0000
0.0000 0.0000 4.6679
V Cr Ni Pt
2 1 1 1
Direct
0.0000 0.5000 0.0000 V
0.5000 0.0000 0.0000 V
0.0000 0.0000 0.0000 Cr
0.5000 0.5000 0.5000 Ni
0.0000 0.0000 0.5000 Pt
```

Output
ΔH_f (0 K) in eV/atom: 0.95
Crystal system: tetragonal
N(E_F) in states/eV/cell: 6.4